DFT (PBE) results for an optimized crystal structure of Cd2Ni.

Output
**Total magnetic moment**: 0.0 μB/f.u.
**Energy relative to the elements**: 0.32 eV per formula unit

extended XYZ file:
```
12
Lattice="4.097 0.000 0.000 0.000 4.097 0.000 -2.049 -2.049 12.395" Properties=species:S:1:pos:R:3 pbc="T T T"
Cd 2.049 2.049 6.233
Cd 2.049 0.000 8.360
Cd 2.049 0.000 4.035
Cd 2.049 2.049 2.163
Cd 0.000 2.049 12.360
Cd 0.000 0.000 6.162
Cd 0.000 0.000 10.232
Cd 0.000 2.049 0.035
Ni 0.000 0.000 2.094
Ni 0.000 2.049 8.291
Ni 2.049 2.049 10.301
Ni 0.000 2.049 4.104
```